This record from the Alexandria database describes LiThSb3 after structural relaxation. The functional is PBE.

```
data_LiThSb3
_chemical_formula_sum 'Li4 Th4 Sb12'
_cell_length_a 13.642
_cell_length_b 6.183
_cell_length_c 6.295
_cell_angle_alpha 90.00
_cell_angle_beta 90.00
_cell_angle_gamma 90.00
_symmetry_space_group_name_H-M 'P b c m'
_symmetry_Int_Tables_number 57
_symmetry_space_group_name_Hall '-P 2c 2b'
loop_
_atom_site_label
_atom_site_fract_x
_atom_site_fract_y
_atom_site_fract_z
Li1 0.099 0.250 0.000
Th1 0.318 0.507 0.250
Sb1 0.080 0.690 0.250
Sb2 0.249 0.004 0.250
Sb3 0.499 0.250 0.000
```

Magnetic moment in μB/cell: 0.00
Formation energy without anion corrections in eV/atom: -0.590
Energy in eV per atom: -4.9299

---

This record from the Alexandria database describes LiTi2Sb after structural relaxation. The functional is PBE.

```
data_LiTi2Sb
_chemical_formula_sum 'Li4 Ti8 Sb4'
_cell_length_a 7.486
_cell_length_b 7.486
_cell_length_c 5.266
_cell_angle_alpha 90.00
_cell_angle_beta 90.00
_cell_angle_gamma 90.00
_symmetry_space_group_name_H-M 'I -4 2 d'
_symmetry_Int_Tables_number 122
_symmetry_space_group_name_Hall 'I -4 2bw'
loop_
_atom_site_label
_atom_site_fract_x
_atom_site_fract_y
_atom_site_fract_z
Li1 0.000 0.000 0.000
Ti1 0.245 0.250 0.125
Sb1 0.000 0.000 0.500
```

Magnetic moment in μB/cell: 0.00
Formation energy without anion corrections in eV/atom: 0.132
Energy in eV per atom: -5.3247

---

This record from the Alexandria database describes Li2TiSb2 after structural relaxation. The functional is PBE.

```
data_Li2TiSb2
_chemical_formula_sum 'Li4 Ti2 Sb4'
_cell_length_a 7.774
_cell_length_b 7.774
_cell_length_c 3.293
_cell_angle_alpha 90.00
_cell_angle_beta 90.00
_cell_angle_gamma 90.00
_symmetry_space_group_name_H-M 'P 4/m b m'
_symmetry_Int_Tables_number 127
_symmetry_space_group_name_Hall '-P 4 2ab'
loop_
_atom_site_label
_atom_site_fract_x
_atom_site_fract_y
_atom_site_fract_z
Li1 0.125 0.375 0.000
Ti1 0.000 0.000 0.500
Sb1 0.175 0.675 0.500
```

Magnetic moment in μB/cell: 0.00
Formation energy without anion corrections in eV/atom: -0.274
Energy in eV per atom: -4.2674

---

This record from the Alexandria database describes Li3TiSb after structural relaxation. The functional is PBE.

```
data_Li3TiSb
_chemical_formula_sum 'Li3 Ti1 Sb1'
_cell_length_a 4.886
_cell_length_b 4.886
_cell_length_c 4.886
_cell_angle_alpha 90.00
_cell_angle_beta 90.00
_cell_angle_gamma 90.00
_symmetry_space_group_name_H-M 'P m -3 m'
_symmetry_Int_Tables_number 221
_symmetry_space_group_name_Hall '-P 4 2 3'
loop_
_atom_site_label
_atom_site_fract_x
_atom_site_fract_y
_atom_site_fract_z
Li1 0.000 0.000 0.500
Ti1 0.500 0.500 0.500
Sb1 0.000 0.000 0.000
```

Magnetic moment in μB/cell: 0.00
Formation energy without anion corrections in eV/atom: 0.523
Energy in eV per atom: -3.0292
ΔE to the lowest computed polymorph in eV per atom: 0.000

---

This record from the Alexandria database describes LiTl2Sb2 after structural relaxation. The functional is PBE.

```
data_LiTl2Sb2
_chemical_formula_sum 'Li4 Tl8 Sb8'
_cell_length_a 6.138
_cell_length_b 15.045
_cell_length_c 6.426
_cell_angle_alpha 90.00
_cell_angle_beta 90.00
_cell_angle_gamma 90.00
_symmetry_space_group_name_H-M 'C m c m'
_symmetry_Int_Tables_number 63
_symmetry_space_group_name_Hall '-C 2c 2'
loop_
_atom_site_label
_atom_site_fract_x
_atom_site_fract_y
_atom_site_fract_z
Li1 0.000 0.000 0.000
Tl1 0.000 0.188 0.250
Tl2 0.000 0.422 0.750
Sb1 0.248 0.123 0.750
```

Magnetic moment in μB/cell: 0.00
Formation energy without anion corrections in eV/atom: -0.094
Energy in eV per atom: -3.0724
ΔE to the lowest computed polymorph in eV per atom: 0.018

---

This record from the Alexandria database describes LiTl6Sb2 after structural relaxation. The functional is PBE.

```
data_LiTl6Sb2
_chemical_formula_sum 'Li3 Tl18 Sb6'
_cell_length_a 5.3430
_cell_length_b 5.3430
_cell_length_c 33.6227
_cell_angle_alpha 90.00
_cell_angle_beta 90.00
_cell_angle_gamma 120.00
_symmetry_space_group_name_H-M 'R -3 m'
_symmetry_Int_Tables_number 166
_symmetry_space_group_name_Hall '-R 3 2"'
loop_
_atom_site_label
_atom_site_fract_x
_atom_site_fract_y
_atom_site_fract_z
Li1 0.0000 0.0000 0.0000
Tl1 0.0000 0.0000 0.1843
Tl2 0.0000 0.0000 0.2999
Tl3 0.0000 0.0000 0.4419
Sb1 0.0000 0.0000 0.0803
```

Magnetic moment in μB/cell: 0.00
Formation energy without anion corrections in eV/atom: -0.039
Energy in eV per atom: -2.7450

---

This record from the Alexandria database describes LiTlSb2 after structural relaxation. The functional is PBE.

```
data_LiTlSb2
_chemical_formula_sum 'Li1 Tl1 Sb2'
_cell_length_a 4.441
_cell_length_b 4.702
_cell_length_c 5.082
_cell_angle_alpha 90.00
_cell_angle_beta 90.00
_cell_angle_gamma 90.00
_symmetry_space_group_name_H-M 'P m m m'
_symmetry_Int_Tables_number 47
_symmetry_space_group_name_Hall '-P 2 2'
loop_
_atom_site_label
_atom_site_fract_x
_atom_site_fract_y
_atom_site_fract_z
Li1 0.000 0.000 0.000
Tl1 0.500 0.500 0.000
Sb1 0.000 0.500 0.500
Sb2 0.500 0.000 0.500
```

Magnetic moment in μB/cell: 0.00
Formation energy without anion corrections in eV/atom: -0.120
Energy in eV per atom: -3.2507
ΔE to the lowest computed polymorph in eV per atom: 0.078

---

This record from the Alexandria database describes LiTl2Sb4 after structural relaxation. The functional is PBE.

```
data_LiTl2Sb4
_chemical_formula_sum 'Li2 Tl4 Sb8'
_cell_length_a 8.521
_cell_length_b 8.521
_cell_length_c 5.714
_cell_angle_alpha 90.00
_cell_angle_beta 90.00
_cell_angle_gamma 90.00
_symmetry_space_group_name_H-M 'P 42/m n m'
_symmetry_Int_Tables_number 136
_symmetry_space_group_name_Hall '-P 4n 2n'
loop_
_atom_site_label
_atom_site_fract_x
_atom_site_fract_y
_atom_site_fract_z
Li1 0.000 0.000 0.000
Tl1 0.154 0.154 0.500
Sb1 0.066 0.341 0.000
```

Magnetic moment in μB/cell: 0.00
Formation energy without anion corrections in eV/atom: 0.082
Energy in eV per atom: -3.2233